1.
Entry from Alexandria: a geometry-optimized Li5Mo3 structure (PBE-GGA).

```
data_Li5Mo3
_chemical_formula_sum 'Li10 Mo6'
_symmetry_space_group_name_H-M 'C m m m'
_symmetry_Int_Tables_number 65
_symmetry_space_group_name_Hall '-C 2 2'
_cell_length_a 5.580
_cell_length_b 9.940
_cell_length_c 4.295
_cell_angle_alpha 90.00
_cell_angle_beta 90.00
_cell_angle_gamma 90.00
loop_
_atom_site_label
_atom_site_type_symbol
_atom_site_fract_x
_atom_site_fract_y
_atom_site_fract_z
_atom_site_occupancy
Li1 Li 0.000 0.000 0.000 1
Li2 Li 0.000 0.259 0.500 1
Li3 Li 0.250 0.250 0.000 1
Mo1 Mo 0.000 0.500 0.000 1
Mo2 Mo 0.240 0.000 0.500 1
```

Calculated values
polymorph energy (0 for the lowest one) = 0.0105 eV per atom
energy of formation from the pure elements = 0.4303 eV per atom
final energy = -4.828 eV per atom

2.
Entry from Alexandria: a geometry-optimized U2Pa2S7 structure (PBE-GGA).

```
data_U2Pa2S7
_chemical_formula_sum 'U2 Pa2 S7'
_symmetry_space_group_name_H-M 'P -4 m 2'
_symmetry_Int_Tables_number 115
_cell_length_a 4.581
_cell_length_b 4.581
_cell_length_c 12.857
_cell_angle_alpha 90.00
_cell_angle_beta 90.00
_cell_angle_gamma 90.00
loop_
_symmetry_equiv_pos_as_xyz
'x,y,z'
'y,-x,-z'
'-x,-y,z'
'-y,x,-z'
'-x,y,z'
'-y,-x,-z'
'x,-y,z'
'y,x,-z'
loop_
_atom_site_label
_atom_site_type_symbol
_atom_site_fract_x
_atom_site_fract_y
_atom_site_fract_z
_atom_site_occupancy
U1 U 0.000 0.500 0.130 1
Pa1 Pa 0.000 0.500 0.628 1
S1 S 0.000 0.000 0.240 1
S2 S 0.000 0.000 0.500 1
S3 S 0.500 0.500 0.000 1
S4 S 0.500 0.500 0.253 1
S5 S 0.500 0.500 0.500 1
```

Calculated values
polymorph energy (0 for the lowest one) = 0.1595 eV per atom
uncorrected formation energy = -1.388 eV per atom
final energy = -7.794 eV per atom

3.
Entry from Alexandria: a geometry-optimized GdErHg2 structure (PBE-GGA).

```
data_GdErHg2
_chemical_formula_sum 'Gd4 Er4 Hg8'
_symmetry_space_group_name_H-M 'F m -3 m'
_symmetry_Int_Tables_number 225
_symmetry_space_group_name_Hall '-F 4 2 3'
_cell_length_a 7.440
_cell_length_b 7.440
_cell_length_c 7.440
_cell_angle_alpha 90.00
_cell_angle_beta 90.00
_cell_angle_gamma 90.00
loop_
_atom_site_label
_atom_site_type_symbol
_atom_site_fract_x
_atom_site_fract_y
_atom_site_fract_z
_atom_site_occupancy
Gd1 Gd 0.000 0.000 0.000 1
Er1 Er 0.000 0.000 0.500 1
Hg1 Hg 0.250 0.250 0.250 1
```

Calculated values
polymorph energy (0 for the lowest one) = 0.0063 eV per atom
energy of formation from the pure elements = -0.4886 eV per atom
final energy = -5.300 eV per atom

4.
Entry from Alexandria: a geometry-optimized CaCBr structure (PBE-GGA).

```
data_CaCBr
_chemical_formula_sum 'Ca1 C1 Br1'
_symmetry_space_group_name_H-M 'P 4 m m'
_symmetry_Int_Tables_number 99
_cell_length_a 3.572
_cell_length_b 3.572
_cell_length_c 4.935
_cell_angle_alpha 90.00
_cell_angle_beta 90.00
_cell_angle_gamma 90.00
loop_
_symmetry_equiv_pos_as_xyz
'x,y,z'
'-y,x,z'
'-x,-y,z'
'y,-x,z'
'-x,y,z'
'y,x,z'
'x,-y,z'
'-y,-x,z'
loop_
_atom_site_label
_atom_site_type_symbol
_atom_site_fract_x
_atom_site_fract_y
_atom_site_fract_z
_atom_site_occupancy
Ca1 Ca 0.000 0.000 0.000 1
C1 C 0.500 0.500 0.868 1
Br1 Br 0.500 0.500 0.466 1
```

Calculated values
uncorrected formation energy = 0.365 eV per atom
final energy = -3.934 eV per atom

5.
Entry from Alexandria: a geometry-optimized Li2H4Ru structure (PBE-GGA).

```
data_Li2H4Ru
_chemical_formula_sum 'Li4 H8 Ru2'
_symmetry_space_group_name_H-M 'C 1 2/m 1'
_symmetry_Int_Tables_number 12
_cell_length_a 9.017
_cell_length_b 2.804
_cell_length_c 4.763
_cell_angle_alpha 90.00
_cell_angle_beta 115.21
_cell_angle_gamma 90.00
loop_
_symmetry_equiv_pos_as_xyz
'x,y,z'
'-x,-y,-z'
'-x,y,-z'
'x,-y,z'
'x+1/2,y+1/2,z'
'-x+1/2,-y+1/2,-z'
'-x+1/2,y+1/2,-z'
'x+1/2,-y+1/2,z'
loop_
_atom_site_label
_atom_site_type_symbol
_atom_site_fract_x
_atom_site_fract_y
_atom_site_fract_z
_atom_site_occupancy
Li1 Li 0.167 0.000 0.153 1
H1 H 0.115 0.500 0.890 1
H2 H 0.128 0.000 0.523 1
Ru1 Ru 0.000 0.500 0.500 1
```

Calculated values
polymorph energy (0 for the lowest one) = 0.0348 eV per atom
final energy = -4.034 eV per atom

6.
Entry from Alexandria: a geometry-optimized Sr2BrCl structure (PBE-GGA).

```
data_Sr2BrCl
_chemical_formula_sum 'Sr4 Br2 Cl2'
_symmetry_space_group_name_H-M 'I -4 m 2'
_symmetry_Int_Tables_number 119
_symmetry_space_group_name_Hall 'I -4 -2'
_cell_length_a 4.379
_cell_length_b 4.379
_cell_length_c 16.312
_cell_angle_alpha 90.00
_cell_angle_beta 90.00
_cell_angle_gamma 90.00
loop_
_atom_site_label
_atom_site_type_symbol
_atom_site_fract_x
_atom_site_fract_y
_atom_site_fract_z
_atom_site_occupancy
Sr1 Sr 0.000 0.000 0.000 1
Sr2 Sr 0.000 0.500 0.250 1
Br1 Br 0.000 0.500 0.750 1
Cl1 Cl 0.000 0.000 0.500 1
```

Calculated values
polymorph energy (0 for the lowest one) = 0.2247 eV per atom
uncorrected formation energy = -1.378 eV per atom
final energy = -3.099 eV per atom

7.
Entry from Alexandria: a geometry-optimized Tl3BiAu structure (PBE-GGA).

```
data_Tl3BiAu
_chemical_formula_sum 'Tl12 Bi4 Au4'
_symmetry_space_group_name_H-M 'P 1 2/c 1'
_symmetry_Int_Tables_number 13
_cell_length_a 6.493
_cell_length_b 6.897
_cell_length_c 13.651
_cell_angle_alpha 90.00
_cell_angle_beta 101.29
_cell_angle_gamma 90.00
loop_
_symmetry_equiv_pos_as_xyz
'x,y,z'
'-x,-y,-z'
'-x,y,-z+1/2'
'x,-y,z+1/2'
loop_
_atom_site_label
_atom_site_type_symbol
_atom_site_fract_x
_atom_site_fract_y
_atom_site_fract_z
_atom_site_occupancy
Tl1 Tl 0.126 0.194 0.467 1
Tl2 Tl 0.177 0.482 0.677 1
Tl3 Tl 0.338 0.298 0.928 1
Bi1 Bi 0.230 0.010 0.720 1
Au1 Au 0.454 0.298 0.355 1
```

Calculated values
polymorph energy (0 for the lowest one) = 0.0371 eV per atom
energy of formation from the pure elements = 0.0033 eV per atom
final energy = -2.848 eV per atom

8.
Entry from Alexandria: a geometry-optimized Rb2FeSbI6 structure (PBE-GGA).

```
data_Rb2FeSbI6
_chemical_formula_sum 'Rb4 Fe2 Sb2 I12'
_symmetry_space_group_name_H-M 'I 4/m m m'
_symmetry_Int_Tables_number 139
_symmetry_space_group_name_Hall '-I 4 2'
_cell_length_a 8.382
_cell_length_b 8.382
_cell_length_c 11.918
_cell_angle_alpha 90.00
_cell_angle_beta 90.00
_cell_angle_gamma 90.00
loop_
_atom_site_label
_atom_site_type_symbol
_atom_site_fract_x
_atom_site_fract_y
_atom_site_fract_z
_atom_site_occupancy
Rb1 Rb 0.000 0.500 0.250 1
Fe1 Fe 0.000 0.000 0.000 1
Sb1 Sb 0.000 0.000 0.500 1
I1 I 0.000 0.000 0.239 1
I2 I 0.240 0.240 0.000 1
```

Calculated values
uncorrected formation energy = -0.607 eV per atom
final energy = -2.989 eV per atom

9.
Entry from Alexandria: a geometry-optimized CrCo2SbOs structure (PBE-GGA).

```
data_CrCo2SbOs
_chemical_formula_sum 'Cr1 Co2 Sb1 Os1'
_symmetry_space_group_name_H-M 'P 4/m m m'
_symmetry_Int_Tables_number 123
_symmetry_space_group_name_Hall '-P 4 2'
_cell_length_a 4.517
_cell_length_b 4.517
_cell_length_c 4.869
_cell_angle_alpha 90.00
_cell_angle_beta 90.00
_cell_angle_gamma 90.00
loop_
_atom_site_label
_atom_site_type_symbol
_atom_site_fract_x
_atom_site_fract_y
_atom_site_fract_z
_atom_site_occupancy
Cr1 Cr 0.000 0.000 0.000 1
Co1 Co 0.000 0.500 0.500 1
Sb1 Sb 0.500 0.500 0.500 1
Os1 Os 0.500 0.500 0.000 1
```

Calculated values
uncorrected formation energy = 2.071 eV per atom
final energy = -5.767 eV per atom

10.
Entry from Alexandria: a geometry-optimized ZnAs2W structure (PBE-GGA).

```
data_ZnAs2W
_chemical_formula_sum 'Zn2 As4 W2'
_symmetry_space_group_name_H-M 'C 1 2/m 1'
_symmetry_Int_Tables_number 12
_cell_length_a 5.697
_cell_length_b 6.951
_cell_length_c 3.276
_cell_angle_alpha 90.00
_cell_angle_beta 90.54
_cell_angle_gamma 90.00
loop_
_symmetry_equiv_pos_as_xyz
'x,y,z'
'-x,-y,-z'
'-x,y,-z'
'x,-y,z'
'x+1/2,y+1/2,z'
'-x+1/2,-y+1/2,-z'
'-x+1/2,y+1/2,-z'
'x+1/2,-y+1/2,z'
loop_
_atom_site_label
_atom_site_type_symbol
_atom_site_fract_x
_atom_site_fract_y
_atom_site_fract_z
_atom_site_occupancy
Zn1 Zn 0.000 0.000 0.000 1
As1 As 0.250 0.250 0.500 1
W1 W 0.000 0.500 0.000 1
```

Calculated values
energy of formation from the pure elements = 0.4381 eV per atom
final energy = -5.443 eV per atom

11.
Entry from Alexandria: a geometry-optimized CsAg2Br4 structure (PBE-GGA).

```
data_CsAg2Br4
_chemical_formula_sum 'Cs4 Ag8 Br16'
_symmetry_space_group_name_H-M 'C c c m'
_symmetry_Int_Tables_number 66
_symmetry_space_group_name_Hall '-C 2 2c'
_cell_length_a 7.249
_cell_length_b 12.295
_cell_length_c 12.753
_cell_angle_alpha 90.00
_cell_angle_beta 90.00
_cell_angle_gamma 90.00
loop_
_atom_site_label
_atom_site_type_symbol
_atom_site_fract_x
_atom_site_fract_y
_atom_site_fract_z
_atom_site_occupancy
Cs1 Cs 0.000 0.000 0.250 1
Ag1 Ag 0.002 0.268 0.000 1
Br1 Br 0.227 0.092 0.500 1
Br2 Br 0.250 0.250 0.154 1
```

Calculated values
polymorph energy (0 for the lowest one) = 0.0000 eV per atom
uncorrected formation energy = -0.677 eV per atom
final energy = -2.570 eV per atom

12.
Entry from Alexandria: a geometry-optimized RbCd2Ga structure (PBE-GGA).

```
data_RbCd2Ga
_chemical_formula_sum 'Rb3 Cd6 Ga3'
_symmetry_space_group_name_H-M 'R -3 m'
_symmetry_Int_Tables_number 166
_symmetry_space_group_name_Hall '-R 3 2"'
_cell_length_a 4.8030
_cell_length_b 4.8030
_cell_length_c 19.8643
_cell_angle_alpha 90.00
_cell_angle_beta 90.00
_cell_angle_gamma 120.00
loop_
_atom_site_label
_atom_site_type_symbol
_atom_site_fract_x
_atom_site_fract_y
_atom_site_fract_z
_atom_site_occupancy
Rb1 Rb 0.0000 0.0000 0.0000 1
Cd1 Cd 0.0000 0.0000 0.2006 1
Ga1 Ga 0.0000 0.0000 0.5000 1
```

Calculated values
energy of formation from the pure elements = -0.0291 eV per atom
final energy = -1.485 eV per atom

13.
Entry from Alexandria: a geometry-optimized LiPt2W structure (PBE-GGA).

```
data_LiPt2W
_chemical_formula_sum 'Li2 Pt4 W2'
_symmetry_space_group_name_H-M 'I m m 2'
_symmetry_Int_Tables_number 44
_cell_length_a 2.723
_cell_length_b 4.426
_cell_length_c 10.799
_cell_angle_alpha 90.00
_cell_angle_beta 90.00
_cell_angle_gamma 90.00
loop_
_symmetry_equiv_pos_as_xyz
'x,y,z'
'-x,-y,z'
'-x,y,z'
'x,-y,z'
'x+1/2,y+1/2,z+1/2'
'-x+1/2,-y+1/2,z+1/2'
'-x+1/2,y+1/2,z+1/2'
'x+1/2,-y+1/2,z+1/2'
loop_
_atom_site_label
_atom_site_type_symbol
_atom_site_fract_x
_atom_site_fract_y
_atom_site_fract_z
_atom_site_occupancy
Li1 Li 0.000 0.000 0.000 1
Pt1 Pt 0.000 0.000 0.491 1
Pt2 Pt 0.000 0.500 0.215 1
W1 W 0.000 0.500 0.785 1
```

Calculated values
energy of formation from the pure elements = -0.2356 eV per atom
final energy = -6.973 eV per atom

| no. | calculated volume (Å³/atom) |
| --- | --- |
| 1 | 14.89 |
| 2 | 24.53 |
| 3 | 25.74 |
| 4 | 20.99 |
| 5 | 7.78 |
| 6 | 39.10 |
| 7 | 29.97 |
| 8 | 41.87 |
| 9 | 19.87 |
| 10 | 16.21 |
| 11 | 40.59 |
| 12 | 33.07 |
| 13 | 16.27 |